# Tl4HgOF2 | Alexandria via LeMat-Bulk | PBE | optimized geometry
# electronic total energy: -3.257 eV per atom
# ΔE_f (raw): -0.95 eV per atom
data_Tl4HgOF2
_cell_length_a 12.073
_cell_length_b 11.873
_cell_length_c 7.553
_cell_angle_alpha 90.00
_cell_angle_beta 128.69
_cell_angle_gamma 90.00
_symmetry_space_group_name_H-M 'C 1 2/c 1'
_symmetry_Int_Tables_number 15
loop_
_symmetry_equiv_pos_as_xyz
'x,y,z'
'-x,-y,-z'
'-x,y,-z+1/2'
'x,-y,z+1/2'
'x+1/2,y+1/2,z'
'-x+1/2,-y+1/2,-z'
'-x+1/2,y+1/2,-z+1/2'
'x+1/2,-y+1/2,z+1/2'
loop_
_atom_site_label
_atom_site_fract_x
_atom_site_fract_y
_atom_site_fract_z
Tl1 0.074 0.238 0.092
Tl2 0.212 0.052 0.937
Hg1 0.000 0.500 0.000
O1 0.250 0.250 0.000
F1 0.000 0.000 0.000
F2 0.250 0.250 0.500